Record 1
Here is a geometry-optimized Mg2ZrSn structure from the Alexandria database. Energies are from PBE-GGA.

Lattice parameters (Å, degrees): 11.023 11.023 11.023 16.77 16.77 16.77
Element x y z (fractional)
Mg (0.091, 0.091, 0.091)
Mg (0.909, 0.909, 0.909)
Zr (0.000, 0.000, 0.000)
Sn (0.500, 0.500, 0.500)

SG ... R-3m (166)
Calculated total energy ... -3.708 eV/atom
Density of states at the Fermi level ... 2.8 states/eV/cell
Energy relative to the elements ... 0.227 eV/atom

Record 2
Here is a geometry-optimized Ti2BeNi2 structure from the Alexandria database. Energies are from PBE-GGA.

Lattice parameters (Å, degrees): 6.584 6.584 3.057 90.00 90.00 90.00
Element x y z (fractional)
Ti (0.173, 0.327, 0.000)
Ti (0.327, 0.827, 0.000)
Ti (0.673, 0.173, 0.000)
Ti (0.827, 0.673, 0.000)
Be (0.000, 0.000, 0.500)
Be (0.500, 0.500, 0.500)
Ni (0.131, 0.631, 0.500)
Ni (0.369, 0.131, 0.500)
Ni (0.631, 0.869, 0.500)
Ni (0.869, 0.369, 0.500)

SG ... P4/mbm (127)
Calculated total energy ... -6.458 eV/atom
Density of states at the Fermi level ... 8.9 states/eV/cell
Energy relative to the elements ... -0.242 eV/atom

Record 3
Here is a geometry-optimized MoRuPt structure from the Alexandria database. Energies are from PBE-GGA.

Lattice parameters (Å, degrees): 4.357 4.357 2.802 90.00 90.00 120.00
Element x y z (fractional)
Mo (0.000, 0.000, 0.000)
Ru (0.667, 0.333, 0.000)
Pt (0.333, 0.667, 0.500)

SG ... P-6m2 (187)
Calculated total energy ... -8.702 eV/atom
Density of states at the Fermi level ... 4.1 states/eV/cell
Energy relative to the elements ... 0.014 eV/atom
Energy above the lowest structure with this stoichiometry ... 192.6 meV per atom

Record 4
Here is a geometry-optimized TmTlPb2 structure from the Alexandria database. Energies are from PBE-GGA.

Lattice parameters (Å, degrees): 6.674 6.674 6.674 44.00 44.00 44.00
Element x y z (fractional)
Tm (0.000, 0.000, 0.000)
Tl (0.179, 0.179, 0.179)
Pb (0.412, 0.412, 0.412)
Pb (0.603, 0.603, 0.603)

SG ... R3m (160)
Calculated total energy ... -3.556 eV/atom
Density of states at the Fermi level ... 2.8 states/eV/cell
Energy relative to the elements ... 0.008 eV/atom

Record 5
Here is a geometry-optimized K5Co structure from the Alexandria database. Energies are from PBE-GGA.

Lattice parameters (Å, degrees): 7.993 7.993 7.993 60.00 60.00 60.00
Element x y z (fractional)
K (0.000, 0.000, 0.000)
K (0.128, 0.624, 0.624)
K (0.624, 0.128, 0.624)
K (0.624, 0.624, 0.128)
K (0.624, 0.624, 0.624)
Co (0.250, 0.250, 0.250)

SG ... F-43m (216)
Calculated total energy ... -1.389 eV/atom
Density of states at the Fermi level ... 9.4 states/eV/cell
Energy relative to the elements ... 0.710 eV/atom
Energy above the lowest structure with this stoichiometry ... 181.3 meV per atom

Record 6
Here is a geometry-optimized AlFePt2 structure from the Alexandria database. Energies are from PBE-GGA.

Lattice parameters (Å, degrees): 8.950 8.950 8.950 154.88 154.88 35.82
Element x y z (fractional)
Al (0.000, 0.000, 0.000)
Al (0.750, 0.250, 0.500)
Fe (0.250, 0.750, 0.500)
Fe (0.500, 0.500, 0.000)
Pt (0.127, 0.625, 0.002)
Pt (0.375, 0.377, 0.502)
Pt (0.623, 0.125, 0.998)
Pt (0.875, 0.873, 0.498)

SG ... I-42d (122)
Calculated total energy ... -6.245 eV/atom
Density of states at the Fermi level ... 3.4 states/eV/cell
Energy relative to the elements ... -0.174 eV/atom